# ScIn5

A relaxed ScIn5 crystal (PBEsol, Alexandria).

Cell lengths 7.578, 7.578, 4.345 Å; angles 90.00, 90.00, 146.18 degrees
Fractional coordinates of all 6 atoms:
Sc (0.000, 0.000, 0.000)
In (0.166, 0.834, 0.500)
In (0.343, 0.657, 0.000)
In (0.500, 0.500, 0.500)
In (0.657, 0.343, 0.000)
In (0.834, 0.166, 0.500)

For the formation energy, the calculation gives -1.04 eV/f.u.

=====

# CrFeCo2

A relaxed CrFeCo2 crystal (PBEsol, Alexandria).

Cell lengths 4.258, 4.258, 4.258 Å; angles 132.12, 132.12, 70.04 degrees
Fractional coordinates of all 4 atoms:
Cr (0.000, 0.000, 0.000)
Fe (0.750, 0.250, 0.500)
Co (0.250, 0.750, 0.500)
Co (0.500, 0.500, 0.000)

For the formation energy, the calculation gives 0.10 eV/f.u.

=====

# LiSN2Cl

A relaxed LiSN2Cl crystal (PBEsol, Alexandria).

Cell lengths 3.568, 3.568, 5.606 Å; angles 90.00, 90.00, 90.00 degrees
Fractional coordinates of all 5 atoms:
Li (0.000, 0.000, 0.000)
S (0.000, 0.000, 0.500)
N (0.000, 0.500, 0.000)
N (0.500, 0.000, 0.000)
Cl (0.500, 0.500, 0.500)

The calculation puts the formation energy without anion corrections at 1.81 eV/atom. The offset from the most stable computed form comes out at 46 kJ/mol of formula units.

=====

# Ni2OsPb

A relaxed Ni2OsPb crystal (PBEsol, Alexandria).

Cell lengths 8.404, 8.404, 8.404 Å; angles 19.88, 19.88, 19.88 degrees
Fractional coordinates of all 4 atoms:
Ni (0.000, 0.000, 0.000)
Ni (0.262, 0.262, 0.262)
Os (0.521, 0.521, 0.521)
Pb (0.754, 0.754, 0.754)

For the formation energy, the calculation gives 3.03 eV/f.u.

=====

# Zr2TeI

A relaxed Zr2TeI crystal (PBEsol, Alexandria).

Cell lengths 4.993, 4.993, 4.993 Å; angles 60.00, 60.00, 60.00 degrees
Fractional coordinates of all 4 atoms:
Zr (0.250, 0.250, 0.250)
Zr (0.750, 0.750, 0.750)
Te (0.000, 0.000, 0.000)
I (0.500, 0.500, 0.500)

The calculation puts the formation energy without anion corrections at -0.54 eV/atom.

=====

# Tl4Pb3

A relaxed Tl4Pb3 crystal (PBEsol, Alexandria).

Cell lengths 6.363, 6.363, 6.059 Å; angles 90.00, 90.00, 120.00 degrees
Fractional coordinates of all 7 atoms:
Tl (0.000, 0.000, 0.245)
Tl (0.000, 0.000, 0.755)
Tl (0.333, 0.667, 0.000)
Tl (0.667, 0.333, 0.000)
Pb (0.000, 0.500, 0.500)
Pb (0.500, 0.000, 0.500)
Pb (0.500, 0.500, 0.500)

For the formation energy, the calculation gives 0.52 eV/f.u.

=====

# ZnNiRu

A relaxed ZnNiRu crystal (PBEsol, Alexandria).

Cell lengths 3.928, 3.928, 3.928 Å; angles 60.00, 60.00, 60.00 degrees
Fractional coordinates of all 3 atoms:
Zn (0.000, 0.000, 0.000)
Ni (0.250, 0.250, 0.250)
Ru (0.750, 0.750, 0.750)

For the formation energy, the calculation gives 2.19 eV/f.u.

=====

# Fe2AsP

A relaxed Fe2AsP crystal (PBEsol, Alexandria).

Cell lengths 4.054, 4.054, 4.530 Å; angles 102.85, 102.85, 42.67 degrees
Fractional coordinates of all 4 atoms:
Fe (0.000, 0.000, 0.000)
Fe (0.216, 0.216, 0.602)
As (0.473, 0.473, 0.408)
P (0.709, 0.709, 0.959)

For the formation energy, the calculation gives -1.07 eV/f.u.

=====

Number 1: total magnetization 0.000 μB per cell. Number 2: total magnetization 2.150 μB per cell. Number 3: total magnetization 2.748 μB per cell. Number 4: total magnetization 0.004 μB per cell. Number 5: total magnetization 0.000 μB per cell. Number 6: total magnetization 0.000 μB per cell. Number 7: total magnetization 1.563 μB per cell. Number 8: total magnetization 0.441 μB per cell.